## CaZr2Mo (PBE)

Data for a geometry-optimized CaZr2Mo structure.

Calculated values
The final energy is -7.112 eV/atom. As for the crystal system: cubic. For the formation energy, the calculation gives 370.4 meV/atom. The space group is No. 225. Its energy relative to the lowest polymorph listed for this composition is 0.245 eV per atom.

Unit cell a=4.983 b=4.983 c=4.983 alpha=60.00 beta=60.00 gamma=60.00
Atoms (fractional coordinates):
Zr (0.750, 0.750, 0.750)
Zr (0.250, 0.250, 0.250)
Mo (0.500, 0.500, 0.500)
Ca (0.000, 0.000, 0.000)

***

## CaZrMo2 (PBE)

Data for a geometry-optimized CaZrMo2 structure.

Calculated values
The final energy is -7.465 eV/atom. As for the crystal system: tetragonal. For the formation energy, the calculation gives 588.1 meV/atom. The space group is No. 123. Its energy relative to the lowest polymorph listed for this composition is 0.310 eV per atom.

Unit cell a=2.813 b=2.813 c=10.056 alpha=90.00 beta=90.00 gamma=90.00
Atoms (fractional coordinates):
Mo (0.000, 0.000, 0.487)
Mo (0.000, 0.000, 0.013)
Ca (0.500, 0.500, 0.750)
Zr (0.500, 0.500, 0.250)

***

## CaZr3Mo (PBE)

Data for a geometry-optimized CaZr3Mo structure.

Calculated values
The final energy is -5.683 eV/atom. As for the crystal system: cubic. For the formation energy, the calculation gives 2012.8 meV/atom. The space group is No. 221. Its energy relative to the lowest polymorph listed for this composition is 1.502 eV per atom.

Unit cell a=4.899 b=4.899 c=4.899 alpha=90.00 beta=90.00 gamma=90.00
Atoms (fractional coordinates):
Zr (0.000, 0.500, 0.000)
Zr (0.500, 0.000, 0.000)
Zr (0.000, 0.000, 0.500)
Mo (0.500, 0.500, 0.500)
Ca (0.000, 0.000, 0.000)

***

> The lowest final energy belongs to which entry?

CaZrMo2

***

> The lowest energy relative to the lowest polymorph listed for this composition belongs to which entry?

CaZr2Mo

***

> What is the formula in the second record?

CaZrMo2

***

> Which value of energy relative to the lowest polymorph listed for this composition does entry 1 give?

0.245 eV per atom